# NbV2S5

Crystalline NbV2S5 at its relaxed geometry (PBE, Alexandria via LeMat-Bulk).

abc: 4.5110 6.6956 6.6335
angles: 83.42 70.12 70.31
Site moments in Bohr magnetons follow the coordinates.
Positions (direct):
1 S 0.0000 0.5000 0.5000  -0.02
2 S 0.5465 0.7385 0.1686  -0.01
3 S 0.4535 0.2615 0.8314  -0.01
4 S 0.7850 0.2615 0.1686  -0.01
5 S 0.2150 0.7385 0.8314  -0.01
6 Nb 0.5000 0.5000 0.5000  0.68
7 V 0.1903 0.5000 0.1193  0.16
8 V 0.8097 0.5000 0.8807  0.16

SG: No. 69
Formation energy (no corrections) in eV/atom: -0.550
Fermi-level density of states in states/eV/f.u.: 6.3

***

# NdEr5Cd3

Crystalline NdEr5Cd3 at its relaxed geometry (PBE, Alexandria via LeMat-Bulk).

abc: 6.9214 9.1519 9.1522
angles: 120.00 90.00 90.00
Positions (direct):
1 Cd 0.7500 0.3369 0.3369
2 Cd 0.7500 0.6631 0.0000
3 Cd 0.2500 0.3369 0.0000
4 Cd 0.2500 0.6631 0.6631
5 Cd 0.7500 0.0000 0.6631
6 Cd 0.2500 0.0000 0.3369
7 Er 0.7500 0.6655 0.6655
8 Er 0.2500 0.6655 0.0000
9 Er 0.7500 0.3345 0.0000
10 Er 0.0000 0.3333 0.6667
11 Er 0.2500 0.3345 0.3345
12 Er 0.5000 0.6667 0.3333
13 Er 0.5000 0.3333 0.6667
14 Er 0.7500 0.0000 0.3345
15 Er 0.0000 0.6667 0.3333
16 Er 0.2500 0.0000 0.6655
17 Nd 0.0000 0.0000 0.0000
18 Nd 0.5000 0.0000 0.0000

DFT formation energy in eV/atom: -0.1725
SG: No. 193
Fermi-level density of states in states/eV/f.u.: 5.8

***

| no. | total DFT energy (no corrections) (eV per cell) |
| --- | --- |
| 1 | -53.3 |
| 2 | -63.8 |